The following is a DFT calculation (PBE) of a relaxed structure of YS2I.

Results
- total magnetic moment (μB per cell) = 0.0
- E (eV per cell) = -18.18
- uncorrected formation energy (eV/atom) = -0.478
- symmetry = Fm-3m (225)

abc: 5.031 5.031 5.031
angles: 60.00 60.00 60.00
Atoms (fractional coordinates):
I 0.500 0.500 0.500
Y 0.000 0.000 0.000
S 0.250 0.250 0.250
S 0.750 0.750 0.750